(1)
Sb2AuCl: optimized geometry, GGA-PBE.

CIF file:
```
data_Sb2AuCl
_cell_length_a 7.1908
_cell_length_b 4.9537
_cell_length_c 12.6000
_cell_angle_alpha 90.00
_cell_angle_beta 90.00
_cell_angle_gamma 90.00
_symmetry_space_group_name_H-M 'P n n a'
_symmetry_Int_Tables_number 52
loop_
_symmetry_equiv_pos_as_xyz
'x,y,z'
'-x,-y,-z'
'-x+1/2,-y,z'
'x+1/2,y,-z'
'x,-y+1/2,-z+1/2'
'-x,y+1/2,z+1/2'
'-x+1/2,y+1/2,-z+1/2'
'x+1/2,-y+1/2,z+1/2'
loop_
_atom_site_label
_atom_site_type_symbol
_atom_site_fract_x
_atom_site_fract_y
_atom_site_fract_z
Sb1 Sb 0.0883 0.1927 0.0686
Au1 Au 0.2500 0.0000 0.5925
Cl1 Cl 0.0683 0.2500 0.7500
```

(2)
Sb2AuCl: optimized geometry, GGA-PBE.

CIF file:
```
data_Sb2AuCl
_cell_length_a 4.7096
_cell_length_b 3.4174
_cell_length_c 6.0143
_cell_angle_alpha 90.00
_cell_angle_beta 90.34
_cell_angle_gamma 90.00
_symmetry_space_group_name_H-M 'P 1 2/m 1'
_symmetry_Int_Tables_number 10
loop_
_symmetry_equiv_pos_as_xyz
'x,y,z'
'-x,-y,-z'
'-x,y,-z'
'x,-y,z'
loop_
_atom_site_label
_atom_site_type_symbol
_atom_site_fract_x
_atom_site_fract_y
_atom_site_fract_z
Sb1 Sb 0.0000 0.0000 0.0000
Sb2 Sb 0.0000 0.5000 0.5000
Au1 Au 0.5000 0.0000 0.5000
Cl1 Cl 0.5000 0.5000 0.0000
```

(3)
Sb2AuCl: optimized geometry, GGA-PBE.

CIF file:
```
data_Sb2AuCl
_cell_length_a 3.4352
_cell_length_b 5.8565
_cell_length_c 9.5230
_cell_angle_alpha 90.00
_cell_angle_beta 90.00
_cell_angle_gamma 90.00
_symmetry_space_group_name_H-M 'C m m m'
_symmetry_Int_Tables_number 65
_symmetry_space_group_name_Hall '-C 2 2'
loop_
_atom_site_label
_atom_site_type_symbol
_atom_site_fract_x
_atom_site_fract_y
_atom_site_fract_z
Sb1 Sb 0.0000 0.0000 0.2414
Au1 Au 0.0000 0.5000 0.0000
Cl1 Cl 0.0000 0.5000 0.5000
```

(4)
Sb2AuCl: optimized geometry, GGA-PBE.

CIF file:
```
data_Sb2AuCl
_cell_length_a 4.5135
_cell_length_b 4.5135
_cell_length_c 4.6771
_cell_angle_alpha 90.00
_cell_angle_beta 90.00
_cell_angle_gamma 90.00
_symmetry_space_group_name_H-M 'P 4/m m m'
_symmetry_Int_Tables_number 123
_symmetry_space_group_name_Hall '-P 4 2'
loop_
_atom_site_label
_atom_site_type_symbol
_atom_site_fract_x
_atom_site_fract_y
_atom_site_fract_z
Sb1 Sb 0.0000 0.5000 0.0000
Au1 Au 0.0000 0.0000 0.5000
Cl1 Cl 0.5000 0.5000 0.5000
```

It is (1) that is the most stable of them.

(1)
SbAu2Cl: optimized geometry, GGA-PBE.

CIF file:
```
data_SbAu2Cl
_cell_length_a 4.5520
_cell_length_b 4.5520
_cell_length_c 8.1612
_cell_angle_alpha 90.00
_cell_angle_beta 90.00
_cell_angle_gamma 90.00
_symmetry_space_group_name_H-M 'I -4 m 2'
_symmetry_Int_Tables_number 119
_symmetry_space_group_name_Hall 'I -4 -2'
loop_
_atom_site_label
_atom_site_type_symbol
_atom_site_fract_x
_atom_site_fract_y
_atom_site_fract_z
Sb1 Sb 0.0000 0.0000 0.0000
Au1 Au 0.0000 0.0000 0.5000
Au2 Au 0.0000 0.5000 0.7500
Cl1 Cl 0.0000 0.5000 0.2500
```

(2)
SbAu2Cl: optimized geometry, GGA-PBE.

CIF file:
```
data_SbAu2Cl
_cell_length_a 3.1262
_cell_length_b 5.2005
_cell_length_c 5.6314
_cell_angle_alpha 90.00
_cell_angle_beta 90.53
_cell_angle_gamma 90.00
_symmetry_space_group_name_H-M 'P 1 2/m 1'
_symmetry_Int_Tables_number 10
loop_
_symmetry_equiv_pos_as_xyz
'x,y,z'
'-x,-y,-z'
'-x,y,-z'
'x,-y,z'
loop_
_atom_site_label
_atom_site_type_symbol
_atom_site_fract_x
_atom_site_fract_y
_atom_site_fract_z
Sb1 Sb 0.0000 0.0000 0.0000
Au1 Au 0.0018 0.5000 0.2474
Cl1 Cl 0.0000 0.0000 0.5000
```

(3)
SbAu2Cl: optimized geometry, GGA-PBE.

CIF file:
```
data_SbAu2Cl
_cell_length_a 3.9586
_cell_length_b 5.7499
_cell_length_c 8.0727
_cell_angle_alpha 90.00
_cell_angle_beta 90.00
_cell_angle_gamma 90.00
_symmetry_space_group_name_H-M 'C m m 2'
_symmetry_Int_Tables_number 35
loop_
_symmetry_equiv_pos_as_xyz
'x,y,z'
'-x,-y,z'
'-x,y,z'
'x,-y,z'
'x+1/2,y+1/2,z'
'-x+1/2,-y+1/2,z'
'-x+1/2,y+1/2,z'
'x+1/2,-y+1/2,z'
loop_
_atom_site_label
_atom_site_type_symbol
_atom_site_fract_x
_atom_site_fract_y
_atom_site_fract_z
Sb1 Sb 0.0000 0.0000 0.0000
Au1 Au 0.0000 0.0000 0.4566
Au2 Au 0.0000 0.5000 0.2282
Cl1 Cl 0.0000 0.5000 0.6679
```

(4)
SbAu2Cl: optimized geometry, GGA-PBE.

CIF file:
```
data_SbAu2Cl
_cell_length_a 5.5184
_cell_length_b 8.3713
_cell_length_c 3.8454
_cell_angle_alpha 90.00
_cell_angle_beta 90.00
_cell_angle_gamma 90.00
_symmetry_space_group_name_H-M 'C m m m'
_symmetry_Int_Tables_number 65
_symmetry_space_group_name_Hall '-C 2 2'
loop_
_atom_site_label
_atom_site_type_symbol
_atom_site_fract_x
_atom_site_fract_y
_atom_site_fract_z
Sb1 Sb 0.0000 0.0000 0.0000
Au1 Au 0.2500 0.2500 0.5000
Cl1 Cl 0.0000 0.5000 0.0000
```

It is (3) that is the most stable of them.

(1)
SbAu2Cl: optimized geometry, GGA-PBE.

CIF file:
```
data_SbAu2Cl
_cell_length_a 6.9952
_cell_length_b 6.9952
_cell_length_c 6.9952
_cell_angle_alpha 90.00
_cell_angle_beta 90.00
_cell_angle_gamma 90.00
_symmetry_space_group_name_H-M 'F m -3 m'
_symmetry_Int_Tables_number 225
_symmetry_space_group_name_Hall '-F 4 2 3'
loop_
_atom_site_label
_atom_site_type_symbol
_atom_site_fract_x
_atom_site_fract_y
_atom_site_fract_z
Sb1 Sb 0.0000 0.0000 0.0000
Au1 Au 0.2500 0.2500 0.2500
Cl1 Cl 0.0000 0.0000 0.5000
```

(2)
SbAu2Cl: optimized geometry, GGA-PBE.

CIF file:
```
data_SbAu2Cl
_cell_length_a 3.7435
_cell_length_b 6.2970
_cell_length_c 8.0054
_cell_angle_alpha 90.00
_cell_angle_beta 90.00
_cell_angle_gamma 90.00
_symmetry_space_group_name_H-M 'C m m m'
_symmetry_Int_Tables_number 65
_symmetry_space_group_name_Hall '-C 2 2'
loop_
_atom_site_label
_atom_site_type_symbol
_atom_site_fract_x
_atom_site_fract_y
_atom_site_fract_z
Sb1 Sb 0.0000 0.0000 0.0000
Au1 Au 0.0000 0.5000 0.2504
Cl1 Cl 0.0000 0.0000 0.5000
```

(3)
SbAu2Cl: optimized geometry, GGA-PBE.

CIF file:
```
data_SbAu2Cl
_cell_length_a 3.9628
_cell_length_b 3.9628
_cell_length_c 20.9761
_cell_angle_alpha 90.00
_cell_angle_beta 90.00
_cell_angle_gamma 120.00
_symmetry_space_group_name_H-M 'R 3 m'
_symmetry_Int_Tables_number 160
_symmetry_space_group_name_Hall 'R 3 -2"'
loop_
_atom_site_label
_atom_site_type_symbol
_atom_site_fract_x
_atom_site_fract_y
_atom_site_fract_z
Sb1 Sb 0.0000 0.0000 0.0000
Au1 Au 0.0000 0.0000 0.4779
Au2 Au 0.0000 0.0000 0.7365
Cl1 Cl 0.0000 0.0000 0.2210
```

It is (3) that is the most stable of them.

(1)
SbAu2Cl6: optimized geometry, GGA-PBE.

CIF file:
```
data_SbAu2Cl6
_cell_length_a 13.7459
_cell_length_b 14.3371
_cell_length_c 6.3320
_cell_angle_alpha 90.00
_cell_angle_beta 98.93
_cell_angle_gamma 90.00
_symmetry_space_group_name_H-M 'C 1 2/c 1'
_symmetry_Int_Tables_number 15
loop_
_symmetry_equiv_pos_as_xyz
'x,y,z'
'-x,-y,-z'
'-x,y,-z+1/2'
'x,-y,z+1/2'
'x+1/2,y+1/2,z'
'-x+1/2,-y+1/2,-z'
'-x+1/2,y+1/2,-z+1/2'
'x+1/2,-y+1/2,z+1/2'
loop_
_atom_site_label
_atom_site_type_symbol
_atom_site_fract_x
_atom_site_fract_y
_atom_site_fract_z
Sb1 Sb 0.0000 0.0872 0.2500
Au1 Au 0.1146 0.4992 0.3050
Cl1 Cl 0.1076 0.1981 0.1258
Cl2 Cl 0.1144 0.0634 0.6081
Cl3 Cl 0.1186 0.3813 0.5586
```

(2)
SbAu2Cl6: optimized geometry, GGA-PBE.

CIF file:
```
data_SbAu2Cl6
_cell_length_a 10.9331
_cell_length_b 15.0933
_cell_length_c 8.0888
_cell_angle_alpha 90.00
_cell_angle_beta 107.09
_cell_angle_gamma 90.00
_symmetry_space_group_name_H-M 'C 1 2/c 1'
_symmetry_Int_Tables_number 15
loop_
_symmetry_equiv_pos_as_xyz
'x,y,z'
'-x,-y,-z'
'-x,y,-z+1/2'
'x,-y,z+1/2'
'x+1/2,y+1/2,z'
'-x+1/2,-y+1/2,-z'
'-x+1/2,y+1/2,-z+1/2'
'x+1/2,-y+1/2,z+1/2'
loop_
_atom_site_label
_atom_site_type_symbol
_atom_site_fract_x
_atom_site_fract_y
_atom_site_fract_z
Sb1 Sb 0.0000 0.1040 0.2500
Au1 Au 0.2463 0.0421 0.7877
Cl1 Cl 0.0809 0.1217 0.5970
Cl2 Cl 0.1270 0.4865 0.4553
Cl3 Cl 0.1567 0.2074 0.2233
```

It is (1) that is the most stable of them.

(1)
SbAu3Cl: optimized geometry, GGA-PBE.

CIF file:
```
data_SbAu3Cl
_cell_length_a 5.2341
_cell_length_b 5.2341
_cell_length_c 5.2341
_cell_angle_alpha 90.00
_cell_angle_beta 90.00
_cell_angle_gamma 90.00
_symmetry_space_group_name_H-M 'P m -3 m'
_symmetry_Int_Tables_number 221
_symmetry_space_group_name_Hall '-P 4 2 3'
loop_
_atom_site_label
_atom_site_type_symbol
_atom_site_fract_x
_atom_site_fract_y
_atom_site_fract_z
Sb1 Sb 0.0000 0.0000 0.0000
Au1 Au 0.0000 0.0000 0.5000
Cl1 Cl 0.5000 0.5000 0.5000
```

(2)
SbAu3Cl: optimized geometry, GGA-PBE.

CIF file:
```
data_SbAu3Cl
_cell_length_a 4.9772
_cell_length_b 4.9772
_cell_length_c 4.9772
_cell_angle_alpha 90.00
_cell_angle_beta 90.00
_cell_angle_gamma 90.00
_symmetry_space_group_name_H-M 'P m -3 m'
_symmetry_Int_Tables_number 221
_symmetry_space_group_name_Hall '-P 4 2 3'
loop_
_atom_site_label
_atom_site_type_symbol
_atom_site_fract_x
_atom_site_fract_y
_atom_site_fract_z
Sb1 Sb 0.0000 0.0000 0.0000
Au1 Au 0.0000 0.5000 0.5000
Cl1 Cl 0.5000 0.5000 0.5000
```

It is (1) that is the most stable of them.

(1)
SbTe2AuCl: optimized geometry, GGA-PBE.

CIF file:
```
data_SbTe2AuCl
_cell_length_a 5.5247
_cell_length_b 5.5247
_cell_length_c 5.1385
_cell_angle_alpha 90.00
_cell_angle_beta 90.00
_cell_angle_gamma 90.00
_symmetry_space_group_name_H-M 'P 4/m m m'
_symmetry_Int_Tables_number 123
_symmetry_space_group_name_Hall '-P 4 2'
loop_
_atom_site_label
_atom_site_type_symbol
_atom_site_fract_x
_atom_site_fract_y
_atom_site_fract_z
Sb1 Sb 0.0000 0.0000 0.0000
Te1 Te 0.0000 0.5000 0.5000
Au1 Au 0.5000 0.5000 0.0000
Cl1 Cl 0.0000 0.0000 0.5000
```

(2)
SbTe2AuCl: optimized geometry, GGA-PBE.

CIF file:
```
data_SbTe2AuCl
_cell_length_a 5.4063
_cell_length_b 5.4063
_cell_length_c 5.5795
_cell_angle_alpha 90.00
_cell_angle_beta 90.00
_cell_angle_gamma 90.00
_symmetry_space_group_name_H-M 'P 4/m m m'
_symmetry_Int_Tables_number 123
_symmetry_space_group_name_Hall '-P 4 2'
loop_
_atom_site_label
_atom_site_type_symbol
_atom_site_fract_x
_atom_site_fract_y
_atom_site_fract_z
Sb1 Sb 0.0000 0.0000 0.0000
Te1 Te 0.0000 0.5000 0.5000
Au1 Au 0.0000 0.0000 0.5000
Cl1 Cl 0.5000 0.5000 0.0000
```

It is (2) that is the most stable of them.